VASP calculation (PBE with a Hubbard U) on crystalline CrSeO4 at its relaxed geometry.

The structure belongs to space group Cmcm (No. 63); the cell edges are 5.646, 8.371 and 7.038 Å and the angles 90.00°, 90.00° and 90.00°. The distinct sites, in fractional coordinates, are Cr at (0.000, 0.000, 0.000), Se at (0.000, 0.347, 0.250), O at (0.000, 0.241, 0.050) and O at (0.244, 0.465, 0.250).

The calculation puts the raw total energy at -6.13 eV/atom.